[1]
A plane-wave DFT calculation with PBE was carried out for InSbBr2 after structural relaxation.

```
data_InSbBr2
_chemical_formula_sum 'In4 Sb4 Br8'
_cell_length_a 7.719
_cell_length_b 7.719
_cell_length_c 7.719
_cell_angle_alpha 90.00
_cell_angle_beta 90.00
_cell_angle_gamma 90.00
_symmetry_space_group_name_H-M 'F m -3 m'
_symmetry_Int_Tables_number 225
_symmetry_space_group_name_Hall '-F 4 2 3'
loop_
_atom_site_label
_atom_site_fract_x
_atom_site_fract_y
_atom_site_fract_z
_atom_site_occupancy
In1 0.000 0.000 0.000 1
Sb1 0.000 0.000 0.500 1
Br1 0.250 0.250 0.250 1
```

Computed properties:
ΔE to the lowest computed polymorph = 0.364 eV/atom
raw formation energy = 0.01 eV/atom

[2]
A plane-wave DFT calculation with PBE was carried out for Ag3RhSe after structural relaxation.

```
data_Ag3RhSe
_chemical_formula_sum 'Ag3 Rh1 Se1'
_cell_length_a 4.864
_cell_length_b 4.864
_cell_length_c 4.864
_cell_angle_alpha 90.00
_cell_angle_beta 90.00
_cell_angle_gamma 90.00
_symmetry_space_group_name_H-M 'P m -3 m'
_symmetry_Int_Tables_number 221
_symmetry_space_group_name_Hall '-P 4 2 3'
loop_
_atom_site_label
_atom_site_fract_x
_atom_site_fract_y
_atom_site_fract_z
_atom_site_occupancy
Ag1 0.000 0.000 0.500 1
Rh1 0.500 0.500 0.500 1
Se1 0.000 0.000 0.000 1
```

Computed properties:
ΔE to the lowest computed polymorph = 0.000 eV/atom
raw formation energy = 0.85 eV/atom

[3]
A plane-wave DFT calculation with PBE was carried out for Rb2NaPrF6 after structural relaxation.

```
data_Rb2NaPrF6
_chemical_formula_sum 'Rb8 Na4 Pr4 F24'
_cell_length_a 9.208
_cell_length_b 9.208
_cell_length_c 9.208
_cell_angle_alpha 90.00
_cell_angle_beta 90.00
_cell_angle_gamma 90.00
_symmetry_space_group_name_H-M 'F m -3 m'
_symmetry_Int_Tables_number 225
_symmetry_space_group_name_Hall '-F 4 2 3'
loop_
_atom_site_label
_atom_site_fract_x
_atom_site_fract_y
_atom_site_fract_z
_atom_site_occupancy
Rb1 0.250 0.250 0.250 1
Na1 0.000 0.000 0.000 1
Pr1 0.000 0.000 0.500 1
F1 0.000 0.000 0.251 1
```

Computed properties:
raw formation energy = -3.25 eV/atom

[4]
A plane-wave DFT calculation with PBE was carried out for UCd2OsO8 after structural relaxation.

```
data_UCd2OsO8
_chemical_formula_sum 'U1 Cd2 Os1 O8'
_cell_length_a 5.067
_cell_length_b 6.506
_cell_length_c 5.074
_cell_angle_alpha 90.00
_cell_angle_beta 91.01
_cell_angle_gamma 90.00
_symmetry_space_group_name_H-M 'P 1 2/m 1'
_symmetry_Int_Tables_number 10
_symmetry_space_group_name_Hall '-P 2y'
loop_
_atom_site_label
_atom_site_fract_x
_atom_site_fract_y
_atom_site_fract_z
_atom_site_occupancy
U1 0.000 0.000 0.000 1
Cd1 0.500 0.257 0.500 1
Os1 0.000 0.500 0.000 1
O1 0.186 0.265 0.816 1
O2 0.253 0.500 0.255 1
O3 0.277 0.000 0.280 1
```

Computed properties:
raw formation energy = -1.69 eV/atom

[5]
A plane-wave DFT calculation with PBE was carried out for Tb2CuSi4Pt3 after structural relaxation.

```
data_Tb2CuSi4Pt3
_chemical_formula_sum 'Tb2 Cu1 Si4 Pt3'
_cell_length_a 4.156
_cell_length_b 4.156
_cell_length_c 9.958
_cell_angle_alpha 90.00
_cell_angle_beta 90.00
_cell_angle_gamma 90.00
_symmetry_space_group_name_H-M 'P -4 m 2'
_symmetry_Int_Tables_number 115
_symmetry_space_group_name_Hall 'P -4 -2'
loop_
_atom_site_label
_atom_site_fract_x
_atom_site_fract_y
_atom_site_fract_z
_atom_site_occupancy
Tb1 0.000 0.500 0.247 1
Cu1 0.500 0.500 0.000 1
Si1 0.000 0.000 0.500 1
Si2 0.000 0.500 0.867 1
Si3 0.500 0.500 0.500 1
Pt1 0.000 0.000 0.000 1
Pt2 0.000 0.500 0.625 1
```

Computed properties:
raw formation energy = -0.99 eV/atom

[6]
A plane-wave DFT calculation with PBE was carried out for BaHgRh2 after structural relaxation.

```
data_BaHgRh2
_chemical_formula_sum 'Ba4 Hg4 Rh8'
_cell_length_a 4.841
_cell_length_b 4.841
_cell_length_c 18.993
_cell_angle_alpha 90.00
_cell_angle_beta 90.00
_cell_angle_gamma 90.00
_symmetry_space_group_name_H-M 'I -4 2 d'
_symmetry_Int_Tables_number 122
_symmetry_space_group_name_Hall 'I -4 2bw'
loop_
_atom_site_label
_atom_site_fract_x
_atom_site_fract_y
_atom_site_fract_z
_atom_site_occupancy
Ba1 0.000 0.000 0.000 1
Hg1 0.000 0.000 0.500 1
Rh1 0.075 0.250 0.625 1
```

Computed properties:
energy of formation = 40 kJ/mol of formula units

[7]
A plane-wave DFT calculation with PBE was carried out for Pu2UAs3 after structural relaxation.

```
data_Pu2UAs3
_chemical_formula_sum 'Pu4 U2 As6'
_cell_length_a 4.094
_cell_length_b 5.824
_cell_length_c 12.423
_cell_angle_alpha 90.00
_cell_angle_beta 90.00
_cell_angle_gamma 90.00
_symmetry_space_group_name_H-M 'I m m m'
_symmetry_Int_Tables_number 71
_symmetry_space_group_name_Hall '-I 2 2'
loop_
_atom_site_label
_atom_site_fract_x
_atom_site_fract_y
_atom_site_fract_z
_atom_site_occupancy
Pu1 0.000 0.000 0.167 1
U1 0.000 0.000 0.500 1
As1 0.000 0.500 0.164 1
As2 0.000 0.500 0.500 1
```

Computed properties:
ΔE to the lowest computed polymorph = 0.000 eV/atom
energy of formation = -520 kJ/mol of formula units

[8]
A plane-wave DFT calculation with PBE was carried out for TbNdLuIn after structural relaxation.

```
data_TbNdLuIn
_chemical_formula_sum 'Tb4 Nd4 Lu4 In4'
_cell_length_a 7.753
_cell_length_b 7.753
_cell_length_c 7.753
_cell_angle_alpha 90.00
_cell_angle_beta 90.00
_cell_angle_gamma 90.00
_symmetry_space_group_name_H-M 'F -4 3 m'
_symmetry_Int_Tables_number 216
_symmetry_space_group_name_Hall 'F -4 2 3'
loop_
_atom_site_label
_atom_site_fract_x
_atom_site_fract_y
_atom_site_fract_z
_atom_site_occupancy
Tb1 0.000 0.000 0.000 1
Nd1 0.000 0.000 0.500 1
Lu1 0.250 0.250 0.750 1
In1 0.250 0.250 0.250 1
```

Computed properties:
energy of formation = -60 kJ/mol of formula units

| no. | V (Å³ per atom) | VASP energy (eV per atom) |
| --- | --- | --- |
| 1 | 28.74 | -2.5372 |
| 2 | 23.02 | -3.0289 |
| 3 | 19.52 | -5.1749 |
| 4 | 13.94 | -7.0275 |
| 5 | 17.20 | -6.3095 |
| 6 | 27.82 | -4.1287 |
| 7 | 24.68 | -9.8824 |
| 8 | 29.12 | -4.3198 |